Here is crystalline V2SnOs at its relaxed geometry from the Alexandria database. Energies are from PBE.

Calculated values
SG	No. 123
magnetization	0.0	μB/f.u.
D(E_F)	4.17	states/eV/f.u.
ΔH_f (0 K)	0.06	eV per formula unit

a b c (Å): 2.9067 2.9067 7.5432
angles (deg): 90.00 90.00 90.00
Last column: nearest neighbours and their distance in Å.
Fractional positions:
Sn (0.5000, 0.5000, 0.5000)  4 Sn 2.91, 8 V 2.98
V (0.0000, 0.0000, 0.2138)  4 Os 2.61, 4 V 2.91
V (0.0000, 0.0000, 0.7862)  4 Os 2.61, 4 V 2.91
Os (0.5000, 0.5000, 0.0000)  8 V 2.61, 4 Os 2.91

=====

Here is crystalline Li3HoEr2Te6 at its relaxed geometry from the Alexandria database. Energies are from PBE.

Calculated values
formation energy (no corrections)	-1.28	eV per atom
SG	No. 12
magnetization	0.0	μB/f.u.

a b c (Å): 7.4806 7.4806 7.4799
angles (deg): 99.60 99.60 120.00
Last column: nearest neighbours and their distance in Å.
Fractional positions:
Er (0.6667, 0.3333, 0.0000)  6 Te 3.07
Er (0.3333, 0.6667, 0.0000)  6 Te 3.07
Te (0.5812, 0.9154, 0.7463)  3 Li 3.03-3.04, 2 Er 3.07, 1 Ho 3.07
Te (0.4188, 0.0846, 0.2537)  3 Li 3.03-3.04, 2 Er 3.07, 1 Ho 3.07
Te (0.0846, 0.4188, 0.2537)  3 Li 3.03-3.04, 2 Er 3.07, 1 Ho 3.07
Te (0.7504, 0.7504, 0.2538)  3 Li 3.03-3.04, 2 Er 3.07, 1 Ho 3.08
Te (0.9154, 0.5812, 0.7463)  3 Li 3.03-3.04, 2 Er 3.07, 1 Ho 3.07
Te (0.2496, 0.2496, 0.7462)  3 Li 3.03-3.04, 2 Er 3.07, 1 Ho 3.08
Li (0.5000, 0.5000, 0.5000)  6 Te 3.03-3.04
Li (0.1667, 0.8333, 0.5000)  6 Te 3.03-3.04
Li (0.8333, 0.1667, 0.5000)  6 Te 3.03-3.04
Ho (0.0000, 0.0000, 0.0000)  6 Te 3.07-3.08

=====

Here is crystalline HfAl2Cr2 at its relaxed geometry from the Alexandria database. Energies are from PBE.

Calculated values
SG	No. 139
magnetization	0.0	μB/f.u.
D(E_F)	3.63	states/eV/f.u.
ΔH_f (0 K)	0.54	eV per formula unit

a b c (Å): 4.0348 4.0348 5.7633
angles (deg): 69.51 69.51 90.00
Last column: nearest neighbours and their distance in Å.
Fractional positions:
Al (0.2500, 0.7500, 0.5000)  4 Cr 2.56, 4 Al 2.85
Al (0.7500, 0.2500, 0.5000)  4 Cr 2.56, 4 Al 2.85
Cr (0.4076, 0.4076, 0.1849)  1 Cr 1.85
Cr (0.5924, 0.5924, 0.8151)  1 Cr 1.85
Hf (0.0000, 0.0000, 0.0000)  8 Cr 3.00, 8 Al 3.22

=====

Here is crystalline YErGaIr at its relaxed geometry from the Alexandria database. Energies are from PBE.

Calculated values
SG	No. 38
magnetization	0.0	μB/f.u.
D(E_F)	2.98	states/eV/f.u.
ΔH_f (0 K)	-3.04	eV per formula unit

a b c (Å): 3.9432 4.2350 5.7082
angles (deg): 90.00 110.21 90.00
Last column: nearest neighbours and their distance in Å.
Fractional positions:
Y (0.1448, 0.0000, 0.2896)  3 Ir 2.99-3.08, 4 Ga 3.00
Ir (0.4241, 0.0000, 0.8482)  2 Ga 2.63
Er (0.8611, 0.5000, 0.7222)  4 Ir 2.97, 3 Ga 2.98-3.12
Ga (0.5700, 0.5000, 0.1399)  2 Ir 2.63